# ReSiTcGe | Alexandria via LeMat-Bulk | GGA-PBE | relaxed
data_ReSiTcGe
_chemical_formula_sum 'Re4 Si4 Tc4 Ge4'
_space_group_name_H-M_alt 'F -4 3 m'
_space_group_IT_number 216
_space_group_name_Hall 'F -4 2 3'
_cell_length_a 6.054
_cell_length_b 6.054
_cell_length_c 6.054
_cell_angle_alpha 90.00
_cell_angle_beta 90.00
_cell_angle_gamma 90.00
loop_
_atom_site_label
_atom_site_type_symbol
_atom_site_fract_x
_atom_site_fract_y
_atom_site_fract_z
Re1 Re 0.000 0.000 0.000
Si1 Si 0.250 0.250 0.750
Tc1 Tc 0.000 0.000 0.500
Ge1 Ge 0.250 0.250 0.250
# - energy relative to the elements, uncorrected (eV per formula unit) = -0.29
# - VASP energy (Ry/atom) = -0.6090